VASP calculation (meta-GGA SCAN) on a crystal of CdCO2 relaxed with PBEsol.

Unit cell a=9.228 b=9.228 c=9.228 alpha=19.06 beta=19.06 gamma=19.06
Element x y z (fractional)
Cd (0.000, 0.000, 0.000)
C (0.500, 0.500, 0.500)
O (0.457, 0.457, 0.457)
O (0.543, 0.543, 0.543)

Calculated values
space group: R-3m (166)
energy: -14.03 eV per atom
energy relative to the elements, uncorrected: -0.790 eV per atom
ρ: 3.55 g/cm3